This record from the Alexandria database describes a relaxed structure of BaSrGa2. The functional is PBE-GGA.

Energy of formation from the pure elements   -0.373 eV per atom
Uncorrected energy   -2.7880 eV/atom
Crystal system   monoclinic
D(E_F)   5.0 states/eV/f.u.

Lattice parameters (Å, degrees): 4.912 4.511 6.648 90.00 111.66 90.00
Space group Pm (No. 6)
One atom of each set of equivalent atoms:
Ba 0.000 0.000 0.000 [1 per cell]
Sr 0.717 0.500 0.434 [1 per cell]
Ga 0.295 0.000 0.588 [1 per cell]
Ga 0.405 0.500 0.811 [1 per cell]